As2HPd8 | Alexandria | GGA-PBE | relaxed; excess energy over the best structure of this formula in the dataset = 0.31 eV per formula unit; space group = C2/m (12); density of states at the Fermi level = 4.81 states/eV per cell; DFT total energy = -56.63 eV for the cell shown
1.0
4.272 0.000 0.000
0.000 5.414 -0.728
-2.136 -3.151 7.518
As H Pd
2 1 8
Direct
0.855 0.360 0.710
0.145 0.640 0.290
0.500 0.000 0.000
0.404 0.673 0.809
0.678 0.942 0.356
0.795 0.688 0.589
0.970 0.198 0.940
0.205 0.312 0.411
0.322 0.058 0.644
0.596 0.327 0.191
0.030 0.802 0.060